Version P
## La3Nd4Y5 (GGA-PBE)

Data for crystalline La3Nd4Y5 at its relaxed geometry.

Cell lengths 16.3730, 6.0692, 9.4877 Å; angles 90.00, 116.49, 90.00 degrees
Space group C2/m (No. 12)
Symmetry-distinct sites (fractional):
La: 0.0000 0.0000 0.0000 [2 per cell]
La: 0.2091 0.5000 0.2295 [4 per cell]
Nd: 0.0838 0.5000 0.4451 [4 per cell]
Nd: 0.2083 0.5000 0.8798 [4 per cell]
Y: 0.0000 0.5000 0.0000 [2 per cell]
Y: 0.0720 0.0000 0.6992 [4 per cell]
Y: 0.1713 0.0000 0.3888 [4 per cell]

Summary:
Crystal system = monoclinic
DOS at the Fermi energy = 38.9 states/eV/cell
V = 843.8 Å³ per cell

=====

Version Q
## La3Nd4Y5 (GGA-PBE)

Data for crystalline La3Nd4Y5 at its relaxed geometry.

Cell lengths 6.3215, 7.2973, 8.9599 Å; angles 89.86, 89.94, 89.96 degrees
Space group P-1 (No. 2)
Symmetry-distinct sites (fractional):
La: 0.0000 0.0000 0.0000 [1 per cell]
La: 0.1674 0.2510 0.3315 [2 per cell]
Nd: 0.1692 0.7501 0.3322 [2 per cell]
Nd: 0.3311 0.4994 0.6677 [2 per cell]
Y: 0.0000 0.5000 0.0000 [1 per cell]
Y: 0.3343 0.0001 0.6687 [2 per cell]
Y: 0.4981 0.7497 0.0005 [2 per cell]

Summary:
Crystal system = triclinic
DOS at the Fermi energy = 17.7 states/eV/cell
V = 413.3 Å³ per cell

=====

Relative calculated energies, zero for the most stable structure, unit meV/atom: version P 203; version Q 0.

=====

Version P
## LaNd3Y6 (GGA-PBE)

Data for crystalline LaNd3Y6 at its relaxed geometry.

Cell lengths 11.0542, 19.0614, 6.4465 Å; angles 90.00, 90.00, 90.00 degrees
Space group Cmc2_1 (No. 36)
Symmetry-distinct sites (fractional):
La: 0.0000 0.1889 0.0000 [4 per cell]
Nd: 0.0000 0.3883 0.0746 [4 per cell]
Nd: 0.1817 0.1136 0.6817 [8 per cell]
Y: 0.0000 0.0398 0.2827 [4 per cell]
Y: 0.0000 0.2679 0.4787 [4 per cell]
Y: 0.1671 0.4556 0.5973 [8 per cell]
Y: 0.2351 0.2919 0.7726 [8 per cell]

Summary:
Crystal system = orthorhombic
DOS at the Fermi energy = 56.6 states/eV/cell
V = 1358.3 Å³ per cell

=====

Version Q
## LaNd3Y6 (GGA-PBE)

Data for crystalline LaNd3Y6 at its relaxed geometry.

Cell lengths 10.0322, 10.0322, 11.7231 Å; angles 90.00, 90.00, 120.00 degrees
Space group R3 (No. 146, hexagonal axes)
Symmetry-distinct sites (fractional):
La: 0.0000 0.0000 0.0000 [3 per cell]
Nd: 0.0000 0.0000 0.2502 [3 per cell]
Nd: 0.0000 0.0000 0.5000 [3 per cell]
Nd: 0.0000 0.0000 0.7499 [3 per cell]
Y: 0.0000 0.3281 0.9992 [9 per cell]
Y: 0.0001 0.6749 0.4991 [9 per cell]

Summary:
Crystal system = trigonal
DOS at the Fermi energy = 67.6 states/eV/cell
V = 1021.8 Å³ per cell

=====

Relative calculated energies, zero for the most stable structure, unit meV/atom: version P 0; version Q 122.

=====

Version P
## La5Nd12Y2 (GGA-PBE)

Data for crystalline La5Nd12Y2 at its relaxed geometry.

Cell lengths 13.2734, 11.8439, 9.6333 Å; angles 90.00, 116.03, 90.00 degrees
Space group C2/m (No. 12)
Symmetry-distinct sites (fractional):
La: 0.0000 0.0000 0.0000 [2 per cell]
La: 0.1867 0.5000 0.7277 [4 per cell]
La: 0.1928 0.0000 0.8263 [4 per cell]
Nd: 0.0761 0.5000 0.2899 [4 per cell]
Nd: 0.1056 0.2779 0.9195 [8 per cell]
Nd: 0.1190 0.0000 0.4440 [4 per cell]
Nd: 0.1942 0.2481 0.3085 [8 per cell]
Y: 0.0000 0.2650 0.5000 [4 per cell]

Summary:
Crystal system = monoclinic
DOS at the Fermi energy = 58.2 states/eV/cell
V = 1360.8 Å³ per cell

=====

Version Q
## La5Nd12Y2 (GGA-PBE)

Data for crystalline La5Nd12Y2 at its relaxed geometry.

Cell lengths 18.9409, 7.2673, 10.6373 Å; angles 90.00, 111.06, 90.00 degrees
Space group C2/m (No. 12)
Symmetry-distinct sites (fractional):
La: 0.0000 0.0000 0.0000 [2 per cell]
La: 0.1749 0.5000 0.7129 [4 per cell]
La: 0.1855 0.0000 0.6880 [4 per cell]
Nd: 0.0006 0.5000 0.8224 [4 per cell]
Nd: 0.0248 0.0000 0.7435 [4 per cell]
Nd: 0.1591 0.2476 0.3697 [8 per cell]
Nd: 0.1662 0.2524 0.0239 [8 per cell]
Y: 0.0000 0.2779 0.5000 [4 per cell]

Summary:
Crystal system = monoclinic
DOS at the Fermi energy = 66.3 states/eV/cell
V = 1366.4 Å³ per cell

=====

Relative calculated energies, zero for the most stable structure, unit meV/atom: version P 0; version Q 59.

=====

Version P
## La2NdY2 (GGA-PBE)

Data for crystalline La2NdY2 at its relaxed geometry.

Cell lengths 5.3214, 12.2402, 23.4746 Å; angles 90.00, 90.00, 90.00 degrees
Space group Fddd (No. 70, origin choice 2)
Symmetry-distinct sites (fractional):
La: 0.0000 0.0000 0.0000 [16 per cell]
Nd: 0.1250 0.1250 0.1250 [8 per cell]
Y: 0.1250 0.2959 0.6250 [16 per cell]

Summary:
Crystal system = orthorhombic
DOS at the Fermi energy = 71.0 states/eV/cell
V = 1529.0 Å³ per cell

=====

Version Q
## La2NdY2 (GGA-PBE)

Data for crystalline La2NdY2 at its relaxed geometry.

Cell lengths 8.8869, 9.6244, 8.8547 Å; angles 90.00, 108.38, 90.00 degrees
Space group C2/c (No. 15)
Symmetry-distinct sites (fractional):
La: 0.0000 0.0000 0.0000 [4 per cell]
La: 0.2500 0.2500 0.0000 [4 per cell]
Nd: 0.0000 0.2999 0.2500 [4 per cell]
Y: 0.1529 0.4042 0.6320 [8 per cell]

Summary:
Crystal system = monoclinic
DOS at the Fermi energy = 34.0 states/eV/cell
V = 718.7 Å³ per cell

=====

Relative calculated energies, zero for the most stable structure, unit meV/atom: version P 203; version Q 0.

=====

Version P
## La2Nd2Y3 (GGA-PBE)

Data for crystalline La2Nd2Y3 at its relaxed geometry.

Cell lengths 11.5575, 5.1621, 8.1840 Å; angles 90.00, 97.89, 90.00 degrees
Space group C2/m (No. 12)
Symmetry-distinct sites (fractional):
La: 0.0695 0.0000 0.2141 [4 per cell]
Nd: 0.2144 0.0000 0.6430 [4 per cell]
Y: 0.0000 0.5000 0.5000 [2 per cell]
Y: 0.1443 0.5000 0.9290 [4 per cell]

Summary:
Crystal system = monoclinic
DOS at the Fermi energy = 24.2 states/eV/cell
V = 483.6 Å³ per cell

=====

Version Q
## La2Nd2Y3 (GGA-PBE)

Data for crystalline La2Nd2Y3 at its relaxed geometry.

Cell lengths 17.9931, 3.5382, 8.8039 Å; angles 90.00, 119.25, 90.00 degrees
Space group C2/m (No. 12)
Symmetry-distinct sites (fractional):
La: 0.0662 0.0000 0.4142 [4 per cell]
Nd: 0.1511 0.5000 0.8422 [4 per cell]
Y: 0.0000 0.5000 0.0000 [2 per cell]
Y: 0.2128 0.5000 0.3018 [4 per cell]

Summary:
Crystal system = monoclinic
DOS at the Fermi energy = 25.0 states/eV/cell
V = 489.0 Å³ per cell

=====

Relative calculated energies, zero for the most stable structure, unit meV/atom: version P 0; version Q 99.

=====

Version P
## La2Nd8Y (GGA-PBE)

Data for crystalline La2Nd8Y at its relaxed geometry.

Cell lengths 9.2602, 16.7489, 6.0744 Å; angles 90.00, 123.28, 90.00 degrees
Space group C2/m (No. 12)
Symmetry-distinct sites (fractional):
La: 0.0000 0.1927 0.0000 [4 per cell]
Nd: 0.0000 0.2943 0.5000 [4 per cell]
Nd: 0.0782 0.0000 0.2967 [4 per cell]
Nd: 0.2139 0.3849 0.1781 [8 per cell]
Y: 0.0000 0.5000 0.5000 [2 per cell]

Summary:
Crystal system = monoclinic
DOS at the Fermi energy = 30.6 states/eV/cell
V = 787.6 Å³ per cell

=====

Version Q
## La2Nd8Y (GGA-PBE)

Data for crystalline La2Nd8Y at its relaxed geometry.

Cell lengths 18.7683, 5.2202, 8.2369 Å; angles 90.00, 105.28, 90.00 degrees
Space group C2/m (No. 12)
Symmetry-distinct sites (fractional):
La: 0.2270 0.0000 0.1364 [4 per cell]
Nd: 0.0446 0.0000 0.2283 [4 per cell]
Nd: 0.0898 0.5000 0.9524 [4 per cell]
Nd: 0.1356 0.0000 0.6783 [4 per cell]
Nd: 0.1809 0.5000 0.4080 [4 per cell]
Y: 0.0000 0.5000 0.5000 [2 per cell]

Summary:
Crystal system = monoclinic
DOS at the Fermi energy = 37.4 states/eV/cell
V = 778.5 Å³ per cell

=====

Relative calculated energies, zero for the most stable structure, unit meV/atom: version P 119; version Q 0.

=====

Version P
## La3Nd4Y4 (GGA-PBE)

Data for crystalline La3Nd4Y4 at its relaxed geometry.

Cell lengths 3.6113, 11.5203, 19.0535 Å; angles 90.00, 90.00, 90.00 degrees
Space group Immm (No. 71)
Symmetry-distinct sites (fractional):
La: 0.0000 0.0000 0.0000 [2 per cell]
La: 0.0000 0.5000 0.1034 [4 per cell]
Nd: 0.0000 0.2592 0.3301 [8 per cell]
Y: 0.0000 0.0000 0.2252 [4 per cell]
Y: 0.0000 0.2145 0.5000 [4 per cell]

Summary:
Crystal system = orthorhombic
DOS at the Fermi energy = 31.2 states/eV/cell
V = 792.7 Å³ per cell

=====

Version Q
## La3Nd4Y4 (GGA-PBE)

Data for crystalline La3Nd4Y4 at its relaxed geometry.

Cell lengths 10.8703, 5.8369, 12.2764 Å; angles 90.00, 90.00, 90.00 degrees
Space group Amm2 (No. 38)
Symmetry-distinct sites (fractional):
La: 0.0000 0.0000 0.0000 [2 per cell]
La: 0.2937 0.0000 0.1526 [4 per cell]
Nd: 0.0000 0.0000 0.7044 [2 per cell]
Nd: 0.2136 0.0000 0.5000 [4 per cell]
Nd: 0.5000 0.0000 0.6279 [2 per cell]
Y: 0.0000 0.0000 0.3037 [2 per cell]
Y: 0.3012 0.0000 0.8491 [4 per cell]
Y: 0.5000 0.0000 0.3584 [2 per cell]

Summary:
Crystal system = orthorhombic
DOS at the Fermi energy = 37.6 states/eV/cell
V = 778.9 Å³ per cell

=====

Relative calculated energies, zero for the most stable structure, unit meV/atom: version P 27; version Q 0.

=====

Version P
## La3Nd7Y (GGA-PBE)

Data for crystalline La3Nd7Y at its relaxed geometry.

Cell lengths 6.0278, 11.4628, 11.5940 Å; angles 90.00, 90.00, 90.00 degrees
Space group Immm (No. 71)
Symmetry-distinct sites (fractional):
La: 0.0000 0.0000 0.0000 [2 per cell]
La: 0.0000 0.2875 0.5000 [4 per cell]
Nd: 0.0000 0.0000 0.5000 [2 per cell]
Nd: 0.0000 0.2035 0.1996 [8 per cell]
Nd: 0.0000 0.5000 0.2919 [4 per cell]
Y: 0.0000 0.5000 0.0000 [2 per cell]

Summary:
Crystal system = orthorhombic
DOS at the Fermi energy = 33.9 states/eV/cell
V = 801.1 Å³ per cell

=====

Version Q
## La3Nd7Y (GGA-PBE)

Data for crystalline La3Nd7Y at its relaxed geometry.

Cell lengths 11.9179, 10.3383, 6.5779 Å; angles 90.00, 94.40, 90.00 degrees
Space group C2/m (No. 12)
Symmetry-distinct sites (fractional):
La: 0.0000 0.0000 0.0000 [2 per cell]
La: 0.0000 0.1748 0.5000 [4 per cell]
Nd: 0.0000 0.5000 0.5000 [2 per cell]
Nd: 0.2384 0.0000 0.7129 [4 per cell]
Nd: 0.2415 0.3278 0.7616 [8 per cell]
Y: 0.0000 0.5000 0.0000 [2 per cell]

Summary:
Crystal system = monoclinic
DOS at the Fermi energy = 33.3 states/eV/cell
V = 808.1 Å³ per cell

=====

Relative calculated energies, zero for the most stable structure, unit meV/atom: version P 12; version Q 0.